# 1
Density functional theory data (GGA-PBE) for an optimized crystal structure of Sm3Ni7B2.

## Properties
Its total energy is -5.98 eV per atom. The calculation puts the density at 8.80 Mg/m³. As for the calculated volume: 333.4 Å³/cell.

a = 5.168 Å, b = 5.168 Å, c = 14.416 Å
α = 90.00°, β = 90.00°, γ = 120.00°
Positions (direct):
1 B 0.000 0.000 0.250
2 B 0.333 0.667 0.250
3 B 0.000 0.000 0.750
4 B 0.667 0.333 0.750
5 Ni 0.000 0.000 0.000
6 Ni 0.165 0.331 0.151
7 Ni 0.165 0.835 0.151
8 Ni 0.669 0.835 0.151
9 Ni 0.165 0.835 0.349
10 Ni 0.669 0.835 0.349
11 Ni 0.165 0.331 0.349
12 Ni 0.000 0.000 0.500
13 Ni 0.835 0.669 0.651
14 Ni 0.331 0.165 0.651
15 Ni 0.835 0.165 0.651
16 Ni 0.331 0.165 0.849
17 Ni 0.835 0.165 0.849
18 Ni 0.835 0.669 0.849
19 Sm 0.667 0.333 0.031
20 Sm 0.667 0.333 0.250
21 Sm 0.667 0.333 0.469
22 Sm 0.333 0.667 0.531
23 Sm 0.333 0.667 0.750
24 Sm 0.333 0.667 0.969

=====

# 2
Density functional theory data (GGA-PBE) for an optimized crystal structure of ZrTlAgSe3.

## Properties
Its total energy is -4.85 eV per atom. The calculation puts the density at 6.85 Mg/m³. As for the calculated volume: 620.5 Å³/cell.

a = 14.528 Å, b = 3.966 Å, c = 10.770 Å
α = 90.00°, β = 90.00°, γ = 90.00°
Positions (direct):
1 Ag 0.021 0.750 0.094
2 Ag 0.521 0.750 0.406
3 Ag 0.479 0.250 0.594
4 Ag 0.979 0.250 0.906
5 Se 0.409 0.750 0.068
6 Se 0.898 0.250 0.141
7 Se 0.641 0.750 0.224
8 Se 0.141 0.750 0.276
9 Se 0.398 0.250 0.359
10 Se 0.909 0.750 0.432
11 Se 0.091 0.250 0.568
12 Se 0.602 0.750 0.641
13 Se 0.859 0.250 0.724
14 Se 0.359 0.250 0.776
15 Se 0.102 0.750 0.859
16 Se 0.591 0.250 0.932
17 Tl 0.230 0.250 0.042
18 Tl 0.730 0.250 0.458
19 Tl 0.270 0.750 0.542
20 Tl 0.770 0.750 0.958
21 Zr 0.516 0.250 0.171
22 Zr 0.016 0.250 0.329
23 Zr 0.984 0.750 0.671
24 Zr 0.484 0.750 0.829

=====

# 3
Density functional theory data (GGA-PBE) for an optimized crystal structure of PdS2.

## Properties
Its total energy is -4.30 eV per atom. The calculation puts the density at 5.22 Mg/m³. As for the calculated volume: 54.2 Å³/cell.

a = 5.494 Å, b = 5.494 Å, c = 5.494 Å
α = 37.15°, β = 37.15°, γ = 37.15°
Positions (direct):
1 Pd 0.000 0.000 0.000
2 S 0.577 0.577 0.577
3 S 0.754 0.754 0.754

=====

# 4
Density functional theory data (GGA-PBE) for an optimized crystal structure of Hf2InNi.

## Properties
Its total energy is -6.86 eV per atom. The calculation puts the density at 11.55 Mg/m³. As for the calculated volume: 76.3 Å³/cell.

a = 4.760 Å, b = 4.760 Å, c = 4.760 Å
α = 60.00°, β = 60.00°, γ = 60.00°
Each line ends with the local moment (μB).
Positions (direct):
1 Hf 0.000 0.000 0.000  0.32
2 Hf 0.750 0.750 0.750  0.39
3 In 0.500 0.500 0.500  0.00
4 Ni 0.250 0.250 0.250  0.07

=====

# 5
Density functional theory data (GGA-PBE) for an optimized crystal structure of ZrTaNiSn.

## Properties
Its total energy is -7.30 eV per atom. The calculation puts the density at 10.07 Mg/m³. As for the calculated volume: 74.1 Å³/cell.

a = 4.715 Å, b = 4.715 Å, c = 4.715 Å
α = 60.00°, β = 60.00°, γ = 60.00°
Positions (direct):
1 Ni 0.750 0.750 0.750
2 Sn 0.000 0.000 0.000
3 Ta 0.250 0.250 0.250
4 Zr 0.500 0.500 0.500

=====

# 6
Density functional theory data (GGA-PBE) for an optimized crystal structure of Nd4BrNCl4.

## Properties
Its total energy is -5.47 eV per atom. The calculation puts the density at 5.02 Mg/m³. As for the calculated volume: 268.7 Å³/cell.

a = 8.959 Å, b = 8.959 Å, c = 8.326 Å
α = 104.97°, β = 104.97°, γ = 24.64°
Positions (direct):
1 Br 0.500 0.500 0.000
2 Cl 0.835 0.835 0.160
3 Cl 0.171 0.171 0.346
4 Cl 0.829 0.829 0.654
5 Cl 0.165 0.165 0.840
6 N 0.500 0.500 0.500
7 Nd 0.001 0.001 0.297
8 Nd 0.355 0.355 0.416
9 Nd 0.645 0.645 0.584
10 Nd 0.999 0.999 0.703

=====

# 7
Density functional theory data (GGA-PBE) for an optimized crystal structure of Co2ReNi.

## Properties
The calculation puts the density at 12.99 Mg/m³. The energy of formation from the pure elements is 1.0 eV per formula unit. As for the calculated volume: 46.4 Å³/cell.

a = 4.033 Å, b = 4.033 Å, c = 4.033 Å
α = 60.00°, β = 60.00°, γ = 60.00°
Each line ends with the local moment (μB).
Positions (direct):
1 Co 0.000 0.000 0.000  0.96
2 Co 0.750 0.750 0.750  -0.55
3 Ni 0.500 0.500 0.500  0.16
4 Re 0.250 0.250 0.250  0.22

=====

# 8
Density functional theory data (GGA-PBE) for an optimized crystal structure of KRb3Bi2Au2.

## Properties
Its total energy is -2.76 eV per atom. The calculation puts the density at 5.74 Mg/m³. As for the calculated volume: 320.3 Å³/cell.

a = 6.857 Å, b = 7.088 Å, c = 6.951 Å
α = 90.00°, β = 108.54°, γ = 90.00°
Positions (direct):
1 Au 0.001 0.248 0.996
2 Au 0.001 0.752 0.996
3 Bi 0.260 0.000 0.270
4 Bi 0.736 0.500 0.732
5 K 0.847 0.000 0.512
6 Rb 0.495 0.500 0.154
7 Rb 0.153 0.500 0.491
8 Rb 0.506 0.000 0.849

=====

# 9
Density functional theory data (GGA-PBE) for an optimized crystal structure of Pr2YMg3CdIn2.

## Properties
Its total energy is -3.39 eV per atom. The calculation puts the density at 5.41 Mg/m³. As for the calculated volume: 241.3 Å³/cell.

a = 4.732 Å, b = 7.636 Å, c = 7.636 Å
α = 119.01°, β = 90.00°, γ = 90.00°
Positions (direct):
1 Cd 0.000 0.008 0.008
2 In 0.500 0.661 0.335
3 In 0.500 0.335 0.661
4 Mg 0.500 0.240 0.001
5 Mg 0.500 0.001 0.240
6 Mg 0.500 0.762 0.762
7 Pr 0.000 0.998 0.576
8 Pr 0.000 0.576 0.998
9 Y 0.000 0.421 0.421

=====

# 10
Density functional theory data (GGA-PBE) for an optimized crystal structure of HoTc4Ge2.

## Properties
Its total energy is -8.28 eV per atom. The calculation puts the density at 9.68 Mg/m³. As for the calculated volume: 120.5 Å³/cell.

a = 7.443 Å, b = 7.443 Å, c = 4.084 Å
α = 90.00°, β = 90.00°, γ = 147.83°
Positions (direct):
1 Ge 0.587 0.413 0.500
2 Ge 0.413 0.587 0.500
3 Ho 0.000 0.000 0.000
4 Tc 0.698 0.302 0.000
5 Tc 0.302 0.698 0.000
6 Tc 0.808 0.192 0.500
7 Tc 0.192 0.808 0.500

=====

# 11
Density functional theory data (GGA-PBE) for an optimized crystal structure of Tm3Mg3ZnPtAu.

## Properties
Its total energy is -3.83 eV per atom. The calculation puts the density at 8.76 Mg/m³. As for the calculated volume: 196.5 Å³/cell.

a = 7.510 Å, b = 7.510 Å, c = 4.023 Å
α = 90.00°, β = 90.00°, γ = 120.00°
Positions (direct):
1 Au 0.000 0.000 0.000
2 Mg 0.002 0.252 0.500
3 Mg 0.748 0.750 0.500
4 Mg 0.250 0.998 0.500
5 Pt 0.667 0.333 0.500
6 Tm 0.597 0.019 0.000
7 Tm 0.422 0.403 0.000
8 Tm 0.981 0.578 0.000
9 Zn 0.333 0.667 0.500

=====

# 12
Density functional theory data (GGA-PBE) for an optimized crystal structure of LaZrAl2Pd4.

## Properties
Its total energy is -6.04 eV per atom. The calculation puts the density at 7.77 Mg/m³. As for the calculated volume: 151.6 Å³/cell.

a = 4.378 Å, b = 4.378 Å, c = 9.132 Å
α = 90.00°, β = 90.00°, γ = 120.00°
Positions (direct):
1 Al 0.667 0.333 0.277
2 Al 0.667 0.333 0.723
3 La 0.000 0.000 0.000
4 Pd 0.333 0.667 0.190
5 Pd 0.000 0.000 0.345
6 Pd 0.000 0.000 0.655
7 Pd 0.333 0.667 0.810
8 Zr 0.333 0.667 0.500

=====

# 13
Density functional theory data (GGA-PBE) for an optimized crystal structure of LuGe2Mo.

## Properties
Its total energy is -5.89 eV per atom. The calculation puts the density at 9.37 Mg/m³. As for the calculated volume: 73.7 Å³/cell.

a = 4.707 Å, b = 4.707 Å, c = 4.707 Å
α = 60.00°, β = 60.00°, γ = 60.00°
Each line ends with the local moment (μB).
Positions (direct):
1 Ge 0.000 0.000 0.000  -0.01
2 Ge 0.750 0.750 0.750  -0.01
3 Lu 0.250 0.250 0.250  0.06
4 Mo 0.500 0.500 0.500  0.39

=====

# 14
Density functional theory data (GGA-PBE) for an optimized crystal structure of YGa2Ag2.

## Properties
Its total energy is -4.00 eV per atom. The calculation puts the density at 7.38 Mg/m³. As for the calculated volume: 100.0 Å³/cell.

a = 6.245 Å, b = 6.245 Å, c = 6.245 Å
α = 139.94°, β = 139.94°, γ = 57.95°
Positions (direct):
1 Ag 0.750 0.250 0.500
2 Ag 0.250 0.750 0.500
3 Ga 0.389 0.389 0.000
4 Ga 0.611 0.611 0.000
5 Y 0.000 0.000 0.000

=====

# 15
Density functional theory data (GGA-PBE) for an optimized crystal structure of Nd2Tm2CI5.

## Properties
Its total energy is -4.62 eV per atom. The calculation puts the density at 6.60 Mg/m³. As for the calculated volume: 320.0 Å³/cell.

a = 9.705 Å, b = 9.705 Å, c = 8.709 Å
α = 102.83°, β = 102.83°, γ = 23.62°
Positions (direct):
1 C 0.500 0.500 0.000
2 I 0.835 0.835 0.194
3 I 0.160 0.160 0.353
4 I 0.500 0.500 0.500
5 I 0.840 0.840 0.647
6 I 0.165 0.165 0.806
7 Nd 0.636 0.636 0.068
8 Nd 0.364 0.364 0.932
9 Tm 0.000 0.000 0.184
10 Tm 0.000 0.000 0.816

=====

# 16
Density functional theory data (GGA-PBE) for an optimized crystal structure of NdNbTl.

## Properties
Its total energy is -5.07 eV per atom. The calculation puts the density at 8.53 Mg/m³. As for the calculated volume: 86.0 Å³/cell.

a = 4.954 Å, b = 4.954 Å, c = 4.954 Å
α = 60.00°, β = 60.00°, γ = 60.00°
Positions (direct):
1 Nb 0.250 0.250 0.250
2 Nd 0.750 0.750 0.750
3 Tl 0.000 0.000 0.000

=====

# 17
Density functional theory data (GGA-PBE) for an optimized crystal structure of CdTe.

## Properties
Its total energy is -2.31 eV per atom. The calculation puts the density at 7.07 Mg/m³. As for the calculated volume: 56.4 Å³/cell.

a = 4.304 Å, b = 4.304 Å, c = 4.304 Å
α = 60.00°, β = 60.00°, γ = 60.00°
Positions (direct):
1 Cd 0.000 0.000 0.000
2 Te 0.500 0.500 0.500

=====

# 18
Density functional theory data (GGA-PBE) for an optimized crystal structure of YZn3P3.

## Properties
Its total energy is -4.39 eV per atom. The calculation puts the density at 4.57 Mg/m³. As for the calculated volume: 274.8 Å³/cell.

a = 3.996 Å, b = 3.996 Å, c = 19.876 Å
α = 90.00°, β = 90.00°, γ = 120.00°
Positions (direct):
1 P 0.667 0.333 0.084
2 P 0.333 0.667 0.250
3 P 0.667 0.333 0.416
4 P 0.333 0.667 0.584
5 P 0.667 0.333 0.750
6 P 0.333 0.667 0.916
7 Y 0.000 0.000 0.000
8 Y 0.000 0.000 0.500
9 Zn 0.333 0.667 0.128
10 Zn 0.667 0.333 0.250
11 Zn 0.333 0.667 0.372
12 Zn 0.667 0.333 0.628
13 Zn 0.333 0.667 0.750
14 Zn 0.667 0.333 0.872

=====

# 19
Density functional theory data (GGA-PBE) for an optimized crystal structure of TbGdAg2Se4.

## Properties
Its total energy is -4.84 eV per atom. The calculation puts the density at 7.05 Mg/m³. As for the calculated volume: 199.8 Å³/cell.

a = 6.788 Å, b = 6.788 Å, c = 4.336 Å
α = 90.00°, β = 90.00°, γ = 90.02°
Positions (direct):
1 Ag 0.500 0.000 0.000
2 Ag 0.000 0.500 0.000
3 Gd 0.000 0.000 0.796
4 Se 0.202 0.202 0.283
5 Se 0.798 0.798 0.283
6 Se 0.702 0.298 0.717
7 Se 0.298 0.702 0.717
8 Tb 0.500 0.500 0.204

=====

# 20
Density functional theory data (GGA-PBE) for an optimized crystal structure of Er2Lu3Mg3.

## Properties
Its total energy is -3.41 eV per atom. The calculation puts the density at 7.04 Mg/m³. As for the calculated volume: 219.9 Å³/cell.

a = 6.763 Å, b = 5.471 Å, c = 6.781 Å
α = 90.00°, β = 118.80°, γ = 90.00°
Positions (direct):
1 Er 0.660 0.500 0.344
2 Er 0.342 0.000 0.658
3 Lu 0.331 0.000 0.158
4 Lu 0.838 0.000 0.163
5 Lu 0.160 0.500 0.838
6 Mg 0.161 0.500 0.333
7 Mg 0.841 0.000 0.662
8 Mg 0.666 0.500 0.844